# Ca5MgBi4 | the Alexandria database | GGA-PBE | relaxed
# * space-group type: C2/m (12)
data_Ca5MgBi4
_cell_length_a 9.497
_cell_length_b 9.497
_cell_length_c 8.283
_cell_angle_alpha 95.55
_cell_angle_beta 95.55
_cell_angle_gamma 28.07
_space_group_name_H-M_alt 'P 1'
_space_group_IT_number 1
loop_
_space_group_symop_operation_xyz
'x,y,z'
loop_
_atom_site_label
_atom_site_fract_x
_atom_site_fract_y
_atom_site_fract_z
Ca1 0.000 0.000 0.000
Ca2 0.296 0.296 0.844
Ca3 0.370 0.370 0.314
Ca4 0.630 0.630 0.686
Ca5 0.704 0.704 0.156
Mg1 0.000 0.000 0.500
Bi1 0.189 0.189 0.441
Bi2 0.457 0.457 0.720
Bi3 0.543 0.543 0.280
Bi4 0.811 0.811 0.559

# Ca2MgBi2 | the Alexandria database | GGA-PBE | relaxed
# * space-group type: P2_1/c (14)
data_Ca2MgBi2
_cell_length_a 9.712
_cell_length_b 8.421
_cell_length_c 7.908
_cell_angle_alpha 90.00
_cell_angle_beta 91.88
_cell_angle_gamma 90.00
_space_group_name_H-M_alt 'P 1'
_space_group_IT_number 1
loop_
_space_group_symop_operation_xyz
'x,y,z'
loop_
_atom_site_label
_atom_site_fract_x
_atom_site_fract_y
_atom_site_fract_z
Ca1 0.092 0.245 0.007
Ca2 0.092 0.255 0.507
Ca3 0.342 0.708 0.492
Ca4 0.342 0.792 0.992
Ca5 0.658 0.208 0.008
Ca6 0.658 0.292 0.508
Ca7 0.908 0.745 0.493
Ca8 0.908 0.755 0.993
Mg1 0.380 0.083 0.338
Mg2 0.380 0.417 0.838
Mg3 0.620 0.583 0.162
Mg4 0.620 0.917 0.662
Bi1 0.123 0.569 0.755
Bi2 0.123 0.931 0.255
Bi3 0.368 0.089 0.727
Bi4 0.368 0.411 0.227
Bi5 0.632 0.589 0.773
Bi6 0.632 0.911 0.273
Bi7 0.877 0.069 0.745
Bi8 0.877 0.431 0.245

# CaMg2Bi | the Alexandria database | GGA-PBE | relaxed
# * space-group type: R-3m (166)
data_CaMg2Bi
_cell_length_a 4.544
_cell_length_b 4.544
_cell_length_c 28.252
_cell_angle_alpha 90.00
_cell_angle_beta 90.00
_cell_angle_gamma 120.00
_space_group_name_H-M_alt 'P 1'
_space_group_IT_number 1
loop_
_space_group_symop_operation_xyz
'x,y,z'
loop_
_atom_site_label
_atom_site_fract_x
_atom_site_fract_y
_atom_site_fract_z
Ca1 0.000 0.000 0.000
Ca2 0.333 0.667 0.667
Ca3 0.667 0.333 0.333
Mg1 0.000 0.000 0.121
Mg2 0.000 0.000 0.879
Mg3 0.333 0.667 0.546
Mg4 0.333 0.667 0.787
Mg5 0.667 0.333 0.213
Mg6 0.667 0.333 0.454
Bi1 0.000 0.000 0.500
Bi2 0.333 0.667 0.167
Bi3 0.667 0.333 0.833

# CaMgBi2 | the Alexandria database | GGA-PBE | relaxed
# * space-group type: R-3m (166)
data_CaMgBi2
_cell_length_a 4.040
_cell_length_b 4.040
_cell_length_c 26.127
_cell_angle_alpha 90.00
_cell_angle_beta 90.00
_cell_angle_gamma 120.00
_space_group_name_H-M_alt 'P 1'
_space_group_IT_number 1
loop_
_space_group_symop_operation_xyz
'x,y,z'
loop_
_atom_site_label
_atom_site_fract_x
_atom_site_fract_y
_atom_site_fract_z
Ca1 0.000 0.000 0.000
Ca2 0.333 0.667 0.667
Ca3 0.667 0.333 0.333
Mg1 0.000 0.000 0.500
Mg2 0.333 0.667 0.167
Mg3 0.667 0.333 0.833
Bi1 0.000 0.000 0.243
Bi2 0.000 0.000 0.757
Bi3 0.333 0.667 0.424
Bi4 0.333 0.667 0.910
Bi5 0.667 0.333 0.090
Bi6 0.667 0.333 0.576

# CaMgBi2 | the Alexandria database | GGA-PBE | relaxed
# * space-group type: I-42d (122)
data_CaMgBi2
_cell_length_a 8.506
_cell_length_b 8.506
_cell_length_c 6.813
_cell_angle_alpha 90.00
_cell_angle_beta 90.00
_cell_angle_gamma 90.00
_space_group_name_H-M_alt 'P 1'
_space_group_IT_number 1
loop_
_space_group_symop_operation_xyz
'x,y,z'
loop_
_atom_site_label
_atom_site_fract_x
_atom_site_fract_y
_atom_site_fract_z
Ca1 0.000 0.000 0.000
Ca2 0.000 0.500 0.250
Ca3 0.500 0.000 0.750
Ca4 0.500 0.500 0.500
Mg1 0.000 0.000 0.500
Mg2 0.000 0.500 0.750
Mg3 0.500 0.000 0.250
Mg4 0.500 0.500 0.000
Bi1 0.218 0.250 0.625
Bi2 0.250 0.718 0.875
Bi3 0.250 0.782 0.375
Bi4 0.282 0.250 0.125
Bi5 0.718 0.750 0.125
Bi6 0.750 0.218 0.375
Bi7 0.750 0.282 0.875
Bi8 0.782 0.750 0.625

# Ca2MgBi2 | the Alexandria database | GGA-PBE | relaxed
# * space-group type: P4/mbm (127)
data_Ca2MgBi2
_cell_length_a 8.243
_cell_length_b 8.243
_cell_length_c 4.599
_cell_angle_alpha 90.00
_cell_angle_beta 90.00
_cell_angle_gamma 90.00
_space_group_name_H-M_alt 'P 1'
_space_group_IT_number 1
loop_
_space_group_symop_operation_xyz
'x,y,z'
loop_
_atom_site_label
_atom_site_fract_x
_atom_site_fract_y
_atom_site_fract_z
Ca1 0.155 0.345 0.000
Ca2 0.345 0.845 0.000
Ca3 0.655 0.155 0.000
Ca4 0.845 0.655 0.000
Mg1 0.000 0.000 0.500
Mg2 0.500 0.500 0.500
Bi1 0.153 0.653 0.500
Bi2 0.347 0.153 0.500
Bi3 0.653 0.847 0.500
Bi4 0.847 0.347 0.500

| no. | calculated total energy (Ry per atom) | energy relative to the elements (meV per atom) |
| --- | --- | --- |
| 1 | -0.232 | -439 |
| 2 | -0.248 | -699 |
| 3 | -0.149 | 244 |
| 4 | -0.234 | -343 |
| 5 | -0.236 | -377 |
| 6 | -0.238 | -561 |